The following is a DFT calculation (GGA-PBE) of crystalline ErNi4Sb at its relaxed geometry.

It has space group F-43m (No. 216), with a = 7.046 Å, b = 7.046 Å, c = 7.046 Å, α = 90.00°, β = 90.00° and γ = 90.00°. The distinct sites, in fractional coordinates, are Er at (0.000, 0.000, 0.000), Ni at (0.125, 0.125, 0.625) and Sb at (0.250, 0.250, 0.250).

For the spin magnetization, the calculation gives 0.00 μB/f.u. The value obtained for the raw formation energy is -0.358 eV/atom. The energy relative to the lowest polymorph listed for this composition is 0 meV per atom.

The following is a DFT calculation (GGA-PBE) of crystalline Er4NiSb2 at its relaxed geometry.

It has space group C2/m (No. 12), with a = 11.612 Å, b = 4.236 Å, c = 8.476 Å, α = 90.00°, β = 118.86° and γ = 90.00°. The distinct sites, in fractional coordinates, are Er at (0.066, 0.000, 0.349), Er at (0.157, 0.500, 0.053), Ni at (0.000, 0.000, 0.000) and Sb at (0.162, 0.500, 0.665).

For the spin magnetization, the calculation gives 0.00 μB/f.u. The value obtained for the raw formation energy is -0.682 eV/atom.

The following is a DFT calculation (GGA-PBE) of crystalline Er8Ni2Sb at its relaxed geometry.

It has space group C2/m (No. 12), with a = 8.524 Å, b = 13.022 Å, c = 5.354 Å, α = 90.00°, β = 103.75° and γ = 90.00°. The distinct sites, in fractional coordinates, are Er at (0.000, 0.248, 0.000), Er at (0.106, 0.500, 0.799), Er at (0.206, 0.129, 0.586), Ni at (0.000, 0.304, 0.500) and Sb at (0.000, 0.000, 0.000).

For the spin magnetization, the calculation gives 0.83 μB/f.u. The value obtained for the raw formation energy is -0.272 eV/atom.